No. 1
First-principles (PBE-GGA) data for a geometry-optimized CaSn2F6 structure, as listed in Alexandria via LeMat-Bulk. Values from VASP.

Quantum ESPRESSO input file:
```
&SYSTEM
  ibrav = 0, nat = 18, ntyp = 3
/
ATOMIC_SPECIES
Ca 40.08 Ca.upf
Sn 118.71 Sn.upf
F 19.00 F.upf
ATOMIC_POSITIONS angstrom
Ca -0.5093 1.0757 4.3224
Ca 2.7629 4.6594 5.3684
Sn -0.0096 4.8226 2.2682
Sn 1.8023 1.4230 1.3021
Sn 0.4512 4.3120 8.3886
Sn 2.2631 0.9125 7.4225
F -1.6545 4.6416 7.7970
F -0.3694 3.3481 3.8309
F -0.4109 6.1436 3.8647
F 0.3473 1.0508 6.5424
F 1.3583 6.6966 1.0804
F 0.5331 4.6186 6.2566
F 1.7205 1.1164 3.4342
F 0.8952 -0.9615 8.6103
F 1.9063 4.6842 3.1483
F 2.6644 -0.4086 5.8261
F 2.6229 2.3870 5.8598
F 3.9080 1.0934 1.8937
CELL_PARAMETERS angstrom
4.4875 0.0000 0.0000
-0.2757 7.3476 0.0000
-1.9582 -1.6126 9.6907
```

Summary:
excess energy over the best structure of this formula in the dataset	0.000	eV per atom
raw formation energy	-2.84	eV per atom
Fermi-level density of states	0.000	states/eV/atom
uncorrected energy	-93.53	eV/cell



No. 2
First-principles (PBE-GGA) data for a geometry-optimized Tb2SmHoEr4 structure, as listed in Alexandria via LeMat-Bulk. Values from VASP.

Quantum ESPRESSO input file:
```
&SYSTEM
  ibrav = 0, nat = 8, ntyp = 4
/
ATOMIC_SPECIES
Tb 158.93 Tb.upf
Sm 150.36 Sm.upf
Ho 164.93 Ho.upf
Er 167.26 Er.upf
ATOMIC_POSITIONS angstrom
Tb 0.0000 0.0000 0.0000
Tb 2.4990 2.4990 4.9987
Sm 0.0000 0.0000 4.9987
Ho 2.4990 2.4990 0.0000
Er 0.0000 2.4990 2.4821
Er 0.0000 2.4990 7.5152
Er 2.4990 0.0000 2.4821
Er 2.4990 0.0000 7.5152
CELL_PARAMETERS angstrom
4.9981 0.0000 0.0000
0.0000 4.9981 0.0000
0.0000 0.0000 9.9973
```

Summary:
formation energy	0.2	eV/f.u.
Fermi-level density of states	1.352	states/eV/atom
uncorrected energy	-36.65	eV/cell



No. 3
First-principles (PBE-GGA) data for a geometry-optimized Pm5Si3Sn3 structure, as listed in Alexandria via LeMat-Bulk. Values from VASP.

Quantum ESPRESSO input file:
```
&SYSTEM
  ibrav = 0, nat = 11, ntyp = 3
/
ATOMIC_SPECIES
Pm 145.00 Pm.upf
Si 28.09 Si.upf
Sn 118.71 Sn.upf
ATOMIC_POSITIONS angstrom
Pm -1.0889 1.8861 0.0000
Pm 2.1779 0.0000 0.0000
Pm 0.0000 5.5408 0.0000
Pm 4.7985 2.7704 0.0000
Pm 3.7096 6.4251 0.0000
Si -3.0776 5.3305 0.0000
Si 1.7209 2.9807 0.0000
Si 6.1552 0.0000 0.0000
Sn -2.2677 3.9277 2.0739
Sn 4.5353 0.0000 2.0739
Sn 2.5308 4.3835 2.0739
CELL_PARAMETERS angstrom
9.5970 0.0000 0.0000
-4.7985 8.3112 0.0000
0.0000 0.0000 4.1478
```

Summary:
raw formation energy	-0.30	eV per atom
Fermi-level density of states	0.582	states/eV/atom
uncorrected energy	-55.28	eV/cell



No. 4
First-principles (PBE-GGA) data for a geometry-optimized MnCrOs2 structure, as listed in Alexandria via LeMat-Bulk. Values from VASP.

Quantum ESPRESSO input file:
```
&SYSTEM
  ibrav = 0, nat = 4, ntyp = 3
/
ATOMIC_SPECIES
Mn 54.94 Mn.upf
Cr 52.00 Cr.upf
Os 190.23 Os.upf
ATOMIC_POSITIONS angstrom
Mn 0.0000 0.0000 0.0000
Cr 1.5906 0.0000 3.3916
Os 4.0154 0.0000 2.2584
Os 6.4192 0.0000 1.1402
CELL_PARAMETERS angstrom
4.4127 -1.3415 0.0000
4.4127 1.3415 0.0000
-0.8159 0.0000 4.4580
```

Summary:
formation energy	0.4	eV/f.u.
Fermi-level density of states	1.052	states/eV/atom
uncorrected energy	-40.88	eV/cell



No. 5
First-principles (PBE-GGA) data for a geometry-optimized Ca2OsRu structure, as listed in Alexandria via LeMat-Bulk. Values from VASP.

Quantum ESPRESSO input file:
```
&SYSTEM
  ibrav = 0, nat = 4, ntyp = 3
/
ATOMIC_SPECIES
Ca 40.08 Ca.upf
Os 190.23 Os.upf
Ru 101.07 Ru.upf
ATOMIC_POSITIONS angstrom
Ca 1.7121 1.7121 1.7121
Ca 5.1364 5.1364 5.1364
Os 0.0000 0.0000 0.0000
Ru 3.4243 3.4243 3.4243
CELL_PARAMETERS angstrom
0.0000 3.4243 3.4243
3.4243 0.0000 3.4243
3.4243 3.4243 0.0000
```

Summary:
formation energy	3.1	eV/f.u.
excess energy over the best structure of this formula in the dataset	0.531	eV per atom
Fermi-level density of states	1.735	states/eV/atom
uncorrected energy	-21.44	eV/cell



No. 6
First-principles (PBE-GGA) data for a geometry-optimized AlTcTe2 structure, as listed in Alexandria via LeMat-Bulk. Values from VASP.

Quantum ESPRESSO input file:
```
&SYSTEM
  ibrav = 0, nat = 4, ntyp = 3
/
ATOMIC_SPECIES
Al 26.98 Al.upf
Tc 98.00 Tc.upf
Te 127.60 Te.upf
ATOMIC_POSITIONS angstrom
Al 0.0000 0.0000 0.0000
Tc 1.6823 1.6823 1.3284
Te 0.0000 0.0000 2.9151
Te 1.6823 1.6823 6.3218
CELL_PARAMETERS angstrom
3.3647 0.0000 0.0000
0.0000 3.3647 0.0000
0.0000 0.0000 7.8556
```

Summary:
raw formation energy	-0.07	eV per atom
Fermi-level density of states	0.544	states/eV/atom
uncorrected energy	-20.66	eV/cell



No. 7
First-principles (PBE-GGA) data for a geometry-optimized ZnIr2Pb structure, as listed in Alexandria via LeMat-Bulk. Values from VASP.

Quantum ESPRESSO input file:
```
&SYSTEM
  ibrav = 0, nat = 4, ntyp = 3
/
ATOMIC_SPECIES
Zn 65.41 Zn.upf
Ir 192.22 Ir.upf
Pb 207.20 Pb.upf
ATOMIC_POSITIONS angstrom
Zn 0.0000 0.0000 0.0000
Ir 1.5178 0.0000 2.0494
Ir 1.5178 0.0000 7.0894
Pb 0.0000 0.0000 4.5694
CELL_PARAMETERS angstrom
1.5178 -2.5169 0.0000
1.5178 2.5169 0.0000
0.0000 0.0000 9.1389
```

Summary:
formation energy	1.8	eV/f.u.
excess energy over the best structure of this formula in the dataset	0.239	eV per atom
Fermi-level density of states	0.763	states/eV/atom
uncorrected energy	-20.89	eV/cell



No. 8
First-principles (PBE-GGA) data for a geometry-optimized AlAuN3 structure, as listed in Alexandria via LeMat-Bulk. Values from VASP.

Quantum ESPRESSO input file:
```
&SYSTEM
  ibrav = 0, nat = 5, ntyp = 3
/
ATOMIC_SPECIES
Al 26.98 Al.upf
Au 196.97 Au.upf
N 14.01 N.upf
ATOMIC_POSITIONS angstrom
Al 0.0000 0.0000 0.0000
Au 1.8888 1.8888 1.8888
N 0.0000 0.0000 1.8888
N 0.0000 1.8888 0.0000
N 1.8888 0.0000 0.0000
CELL_PARAMETERS angstrom
3.7775 0.0000 0.0000
0.0000 3.7775 0.0000
0.0000 0.0000 3.7775
```

Summary:
raw formation energy	1.34	eV per atom
Fermi-level density of states	0.919	states/eV/atom
uncorrected energy	-25.32	eV/cell



No. 9
First-principles (PBE-GGA) data for a geometry-optimized AcTb3Dy5 structure, as listed in Alexandria via LeMat-Bulk. Values from VASP.

Quantum ESPRESSO input file:
```
&SYSTEM
  ibrav = 0, nat = 18, ntyp = 3
/
ATOMIC_SPECIES
Ac 227.00 Ac.upf
Tb 158.93 Tb.upf
Dy 162.50 Dy.upf
ATOMIC_POSITIONS angstrom
Ac 4.3345 4.1648 5.9271
Ac 6.5166 -4.1648 1.9757
Tb 1.6217 2.4639 3.9514
Tb 4.8784 2.3783 2.6230
Tb 8.1547 2.3783 1.3284
Tb 3.8038 -2.4639 0.0000
Tb 2.6964 -2.3783 6.5744
Tb 5.9726 -2.3783 5.2797
Dy 2.2741 0.8472 0.7491
Dy 1.0836 0.8515 7.2792
Dy 0.0920 -0.8472 4.7005
Dy 4.3345 0.7739 5.9271
Dy 3.2657 -0.8515 3.3279
Dy 7.5854 0.8515 4.5749
Dy 6.5166 -0.7739 1.9757
Dy 10.7591 0.8472 3.2022
Dy 9.7674 -0.8515 0.6235
Dy 8.5770 -0.8472 7.1536
CELL_PARAMETERS angstrom
7.6076 -4.9279 0.0000
7.6076 4.9279 0.0000
-4.3641 0.0000 7.9027
```

Summary:
formation energy	0.8	eV/f.u.
Fermi-level density of states	1.670	states/eV/atom
uncorrected energy	-80.35	eV/cell



No. 10
First-principles (PBE-GGA) data for a geometry-optimized Rb3HgS3 structure, as listed in Alexandria via LeMat-Bulk. Values from VASP.

Quantum ESPRESSO input file:
```
&SYSTEM
  ibrav = 0, nat = 14, ntyp = 3
/
ATOMIC_SPECIES
Rb 85.47 Rb.upf
Hg 200.59 Hg.upf
S 32.06 S.upf
ATOMIC_POSITIONS angstrom
Rb -1.0124 3.0452 1.7049
Rb -1.6940 7.7329 1.7049
Rb 2.1310 2.3994 5.1148
Rb 2.7064 5.9794 1.7049
Rb 6.5315 0.6458 5.1148
Rb 5.8499 5.3335 5.1148
Hg 0.0000 5.5858 5.1148
Hg 4.8375 2.7929 1.7049
S -1.0452 3.3573 5.1148
S -1.4073 7.6052 5.1148
S 2.3850 2.5838 1.7049
S 2.4525 5.7949 5.1148
S 6.2448 0.7735 1.7049
S 5.8827 5.0214 1.7049
CELL_PARAMETERS angstrom
9.6750 0.0000 0.0000
-4.8375 8.3788 0.0000
0.0000 0.0000 6.8197
```

Summary:
excess energy over the best structure of this formula in the dataset	0.000	eV per atom
raw formation energy	-0.70	eV per atom
Fermi-level density of states	1.158	states/eV/atom
uncorrected energy	-40.95	eV/cell



No. 11
First-principles (PBE-GGA) data for a geometry-optimized Cd2GaSn structure, as listed in Alexandria via LeMat-Bulk. Values from VASP.

Quantum ESPRESSO input file:
```
&SYSTEM
  ibrav = 0, nat = 4, ntyp = 3
/
ATOMIC_SPECIES
Cd 112.41 Cd.upf
Ga 69.72 Ga.upf
Sn 118.71 Sn.upf
ATOMIC_POSITIONS angstrom
Cd 1.8146 1.8146 1.8146
Cd 5.4439 5.4439 5.4439
Ga 0.0000 0.0000 0.0000
Sn 3.6293 3.6293 3.6293
CELL_PARAMETERS angstrom
0.0000 3.6293 3.6293
3.6293 0.0000 3.6293
3.6293 3.6293 0.0000
```

Summary:
formation energy	0.3	eV/f.u.
excess energy over the best structure of this formula in the dataset	0.028	eV per atom
Fermi-level density of states	0.571	states/eV/atom
uncorrected energy	-8.54	eV/cell



No. 12
First-principles (PBE-GGA) data for a geometry-optimized Co2Rh2Pb structure, as listed in Alexandria via LeMat-Bulk. Values from VASP.

Quantum ESPRESSO input file:
```
&SYSTEM
  ibrav = 0, nat = 10, ntyp = 3
/
ATOMIC_SPECIES
Co 58.93 Co.upf
Rh 102.91 Rh.upf
Pb 207.20 Pb.upf
ATOMIC_POSITIONS angstrom
Co 0.8551 2.7724 0.0000
Co 2.7724 6.3999 0.0000
Co 4.4827 0.8551 0.0000
Co 6.3999 4.4827 0.0000
Rh 1.2348 4.8623 1.4601
Rh 2.3928 1.2348 1.4601
Rh 4.8623 6.0203 1.4601
Rh 6.0203 2.3928 1.4601
Pb 0.0000 0.0000 0.0000
Pb 3.6275 3.6275 0.0000
CELL_PARAMETERS angstrom
7.2551 0.0000 0.0000
0.0000 7.2551 0.0000
0.0000 0.0000 2.9203
```

Summary:
formation energy	1.4	eV/f.u.
excess energy over the best structure of this formula in the dataset	0.000	eV per atom
Fermi-level density of states	1.336	states/eV/atom
uncorrected energy	-62.41	eV/cell



The highest Fermi-level density of states belongs to which entry? Ca2OsRu



Among the records above, which one has the highest uncorrected energy? Cd2GaSn



Number 2 is which compound? Tb2SmHoEr4



Look up the uncorrected energy of the third one. -55.28 eV/cell